VASP calculation (PBE) on a relaxed structure of BaGe3Rh.

## Properties
**Density of states at the Fermi level**: 1.593 states/eV per atom
**Symmetry**: Pm-3m (221)
**Total magnetization**: 0.97 μB/f.u.
**E_form**: 9.39 eV per formula unit
**Calculated total energy**: -2.75 eV per atom

Unit cell a=5.5871 b=5.5871 c=5.5871 alpha=90.00 beta=90.00 gamma=90.00
Last column: magnetic moment on the atom in μB.
Fractional positions:
Ge: 0.5000 0.0000 0.0000  0.00
Rh: 0.5000 0.5000 0.5000  1.08
Ge: 0.0000 0.0000 0.5000  -0.03
Ge: 0.0000 0.5000 0.0000  -0.04
Ba: 0.0000 0.0000 0.0000  0.00